Record 1
Y2BeRe | the Alexandria database | PBE | relaxed; energy of formation from the pure elements = 65 meV/atom; raw total energy = -28.841 eV/f.u.
1.0
2.010 1.160 6.803
-2.010 1.160 6.803
0.000 -2.321 6.803
Y Be Re
2 1 1
direct
0.000 0.000 0.000 Y
0.176 0.176 0.176 Y
0.420 0.420 0.420 Be
0.755 0.755 0.755 Re



Record 2
Y2BeRe | the Alexandria database | PBE | relaxed; energy of formation from the pure elements = 719 meV/atom; raw total energy = -26.225 eV/f.u.
1.0
-3.805 3.805 2.877
3.805 -3.805 2.877
3.805 3.805 -2.877
Y Be Re
4 2 2
direct
0.115 0.625 0.990 Y
0.375 0.365 0.490 Y
0.635 0.125 0.010 Y
0.875 0.885 0.510 Y
0.000 0.000 0.000 Be
0.750 0.250 0.500 Be
0.250 0.750 0.500 Re
0.500 0.500 0.000 Re



Record 3
YBe2Re | the Alexandria database | PBE | relaxed; energy of formation from the pure elements = 309 meV/atom; energy above the lowest structure with this stoichiometry = 318.6 meV/atom; raw total energy = -25.127 eV/f.u.
1.0
2.664 0.000 0.000
0.000 3.243 0.000
0.000 0.000 6.881
Y Be Re
1 2 1
direct
0.000 0.000 0.000 Y
0.000 0.000 0.467 Be
0.500 0.500 0.319 Be
0.500 0.500 0.668 Re



Record 4
Y2BeRe | the Alexandria database | PBE | relaxed; energy of formation from the pure elements = 272 meV/atom; raw total energy = -28.013 eV/f.u.
1.0
4.792 0.000 0.000
0.000 4.792 0.000
0.000 0.000 3.554
Y Be Re
2 1 1
direct
0.000 0.500 0.000 Y
0.500 0.000 0.000 Y
0.000 0.000 0.500 Be
0.500 0.500 0.500 Re



Record 5
YBe2Re | the Alexandria database | PBE | relaxed; energy of formation from the pure elements = 491 meV/atom; energy above the lowest structure with this stoichiometry = 500.6 meV/atom; raw total energy = -24.399 eV/f.u.
1.0
-1.858 1.858 4.419
1.858 -1.858 4.419
1.858 1.858 -4.419
Y Be Re
1 2 1
direct
0.000 0.000 0.000 Y
0.250 0.750 0.500 Be
0.500 0.500 0.000 Be
0.750 0.250 0.500 Re



Record 6
YBe2Re2 | the Alexandria database | PBE | relaxed; energy of formation from the pure elements = 107 meV/atom; energy above the lowest structure with this stoichiometry = 0.0 meV/atom; raw total energy = -38.276 eV/f.u.
1.0
6.535 0.000 0.000
0.000 6.535 0.000
0.000 0.000 3.293
Y Be Re
2 4 4
direct
0.000 0.000 0.000 Y
0.500 0.500 0.000 Y
0.112 0.388 0.000 Be
0.388 0.888 0.000 Be
0.612 0.112 0.000 Be
0.888 0.612 0.000 Be
0.163 0.663 0.500 Re
0.337 0.163 0.500 Re
0.663 0.837 0.500 Re
0.837 0.337 0.500 Re



> raw total energy of number 1 (Y2BeRe)?

-28.841 eV/f.u.



> Among the records above, which one has the lowest energy of formation from the pure elements?

number 1



> What is the formula in the fifth record?

YBe2Re